Record 1
{
  "formula": "BeCu2Cl",
  "functional": "PBE-GGA",
  "state": "relaxed",
  "raw_formation_energy_mev_per_atom": 431,
  "e_above_lowest_polymorph_mev_per_atom": 463.7,
  "magnetic_moment_mub_per_cell": 0.000,
  "final_energy_ev_per_cell": -24.08,
  "lattice_angstrom": [[-5.950, 2.044, -1.118], [0.903, -0.806, -6.274], [-3.490, -2.082, -3.489]],
  "species": ["Be", "Be", "Cu", "Cu", "Cu", "Cu", "Cl", "Cl"],
  "frac_coords": [[0.500, 0.500, 0.000], [0.250, 0.750, 0.500], [0.597, 0.125, 0.250], [0.153, 0.625, 0.250], [0.375, 0.403, 0.750], [0.875, 0.847, 0.750], [0.000, 0.000, 0.000], [0.750, 0.250, 0.500]]
}

=====

Record 2
{
  "formula": "BeCuCl",
  "functional": "PBE-GGA",
  "state": "relaxed",
  "raw_formation_energy_mev_per_atom": 629,
  "e_above_lowest_polymorph_mev_per_atom": 693.4,
  "magnetic_moment_mub_per_cell": 0.000,
  "final_energy_ev_per_cell": -7.78,
  "lattice_angstrom": [[-1.283, -0.027, -3.869], [-2.124, -3.176, -1.421], [-3.969, 0.412, -0.834]],
  "species": ["Be", "Cu", "Cl"],
  "frac_coords": [[0.750, 0.750, 0.750], [0.500, 0.500, 0.500], [0.000, 0.000, 0.000]]
}

=====

Record 3
{
  "formula": "BeCu2Cl",
  "functional": "PBE-GGA",
  "state": "relaxed",
  "raw_formation_energy_mev_per_atom": -33,
  "e_above_lowest_polymorph_mev_per_atom": 0.0,
  "magnetic_moment_mub_per_cell": 0.000,
  "final_energy_ev_per_cell": -13.90,
  "lattice_angstrom": [[2.962, 0.000, 0.000], [0.000, 3.346, -0.113], [0.000, 0.309, 6.618]],
  "species": ["Be", "Cu", "Cu", "Cl"],
  "frac_coords": [[0.000, 0.748, 0.450], [0.000, 0.758, 0.119], [0.500, 0.254, 0.270], [0.500, 0.741, 0.661]]
}

=====

Record 4
{
  "formula": "BeCu2Cl",
  "functional": "PBE-GGA",
  "state": "relaxed",
  "raw_formation_energy_mev_per_atom": 200,
  "e_above_lowest_polymorph_mev_per_atom": 232.7,
  "magnetic_moment_mub_per_cell": 0.000,
  "final_energy_ev_per_cell": -12.97,
  "lattice_angstrom": [[2.974, 0.000, 0.000], [0.000, 2.974, 0.000], [0.000, 0.000, 6.086]],
  "species": ["Be", "Cu", "Cu", "Cl"],
  "frac_coords": [[0.500, 0.500, 0.250], [0.000, 0.000, 0.055], [0.000, 0.000, 0.445], [0.500, 0.500, 0.750]]
}

=====

Record 5
{
  "formula": "Be2CuCl",
  "functional": "PBE-GGA",
  "state": "relaxed",
  "raw_formation_energy_mev_per_atom": 612,
  "e_above_lowest_polymorph_mev_per_atom": 579.9,
  "magnetic_moment_mub_per_cell": 0.000,
  "final_energy_ev_per_cell": -10.95,
  "lattice_angstrom": [[2.777, 0.000, 0.000], [0.000, 3.812, 0.000], [0.000, 0.000, 5.590]],
  "species": ["Be", "Be", "Cu", "Cl"],
  "frac_coords": [[0.000, 0.000, 0.000], [0.500, 0.500, 0.000], [0.000, 0.500, 0.500], [0.500, 0.000, 0.500]]
}

=====

Record 6
{
  "formula": "BeCu2Cl",
  "functional": "PBE-GGA",
  "state": "relaxed",
  "raw_formation_energy_mev_per_atom": 101,
  "e_above_lowest_polymorph_mev_per_atom": 133.6,
  "magnetic_moment_mub_per_cell": 0.000,
  "final_energy_ev_per_cell": -13.36,
  "lattice_angstrom": [[2.953, 0.000, 0.000], [0.000, 3.035, -0.012], [0.000, 0.018, 6.260]],
  "species": ["Be", "Cu", "Cu", "Cl"],
  "frac_coords": [[0.500, 0.250, 0.250], [0.000, 0.750, 0.061], [0.000, 0.750, 0.439], [0.500, 0.750, 0.750]]
}

=====

Record 7
{
  "formula": "BeCu2Cl",
  "functional": "PBE-GGA",
  "state": "relaxed",
  "raw_formation_energy_mev_per_atom": 119,
  "e_above_lowest_polymorph_mev_per_atom": 152.4,
  "magnetic_moment_mub_per_cell": 0.000,
  "final_energy_ev_per_cell": -13.29,
  "lattice_angstrom": [[6.212, 0.009, 0.053], [4.287, 4.496, -0.053], [-4.939, -2.977, 2.311]],
  "species": ["Be", "Cu", "Cu", "Cl"],
  "frac_coords": [[0.480, 0.480, 0.000], [0.032, 0.032, 0.000], [0.645, 0.145, 0.500], [0.343, 0.843, 0.500]]
}

=====

Record 8
{
  "formula": "BeCuCl",
  "functional": "PBE-GGA",
  "state": "relaxed",
  "raw_formation_energy_mev_per_atom": 26,
  "e_above_lowest_polymorph_mev_per_atom": 90.5,
  "magnetic_moment_mub_per_cell": 0.000,
  "final_energy_ev_per_cell": -9.59,
  "lattice_angstrom": [[-4.173, 3.790, 3.389], [-2.547, 2.033, 5.289], [0.720, 2.950, -0.346]],
  "species": ["Be", "Cu", "Cl"],
  "frac_coords": [[0.006, 0.006, 0.994], [0.373, 0.373, 0.627], [0.621, 0.621, 0.379]]
}

=====

Record 9
{
  "formula": "BeCu3Cl",
  "functional": "PBE-GGA",
  "state": "relaxed",
  "raw_formation_energy_mev_per_atom": 582,
  "e_above_lowest_polymorph_mev_per_atom": 0.0,
  "magnetic_moment_mub_per_cell": 0.000,
  "final_energy_ev_per_cell": -14.95,
  "lattice_angstrom": [[4.237, 0.000, 0.000], [0.000, 4.237, 0.000], [0.000, 0.000, 4.237]],
  "species": ["Be", "Cu", "Cu", "Cu", "Cl"],
  "frac_coords": [[0.000, 0.000, 0.000], [0.000, 0.500, 0.000], [0.000, 0.000, 0.500], [0.500, 0.000, 0.000], [0.500, 0.500, 0.500]]
}

=====

Record 10
{
  "formula": "Be2CuCl",
  "functional": "PBE-GGA",
  "state": "relaxed",
  "raw_formation_energy_mev_per_atom": 457,
  "e_above_lowest_polymorph_mev_per_atom": 425.3,
  "magnetic_moment_mub_per_cell": 0.000,
  "final_energy_ev_per_cell": -11.57,
  "lattice_angstrom": [[-1.000, 4.405, -1.617], [-2.801, -4.027, -1.038], [-2.103, -0.547, 1.970]],
  "species": ["Be", "Be", "Cu", "Cl"],
  "frac_coords": [[0.000, 0.000, 0.000], [0.500, 0.000, 0.500], [0.500, 0.500, 0.000], [0.000, 0.500, 0.500]]
}

=====

Record 11
{
  "formula": "BeCuCl",
  "functional": "PBE-GGA",
  "state": "relaxed",
  "raw_formation_energy_mev_per_atom": -64,
  "e_above_lowest_polymorph_mev_per_atom": 0.0,
  "magnetic_moment_mub_per_cell": 0.000,
  "final_energy_ev_per_cell": -9.86,
  "lattice_angstrom": [[3.058, 0.000, 0.000], [-1.529, 2.648, 0.000], [0.000, 0.000, 5.685]],
  "species": ["Be", "Cu", "Cl"],
  "frac_coords": [[0.000, 0.000, 0.015], [0.667, 0.333, 0.744], [0.333, 0.667, 0.241]]
}

=====

Record 12
{
  "formula": "Be2CuCl",
  "functional": "PBE-GGA",
  "state": "relaxed",
  "raw_formation_energy_mev_per_atom": 1065,
  "e_above_lowest_polymorph_mev_per_atom": 1032.9,
  "magnetic_moment_mub_per_cell": 0.000,
  "final_energy_ev_per_cell": -9.14,
  "lattice_angstrom": [[4.306, 0.000, 0.000], [2.153, 3.729, 0.000], [2.153, 1.243, 3.515]],
  "species": ["Be", "Be", "Cu", "Cl"],
  "frac_coords": [[0.000, 0.000, 0.000], [0.750, 0.750, 0.750], [0.250, 0.250, 0.250], [0.500, 0.500, 0.500]]
}

=====

Record 13
{
  "formula": "Be2CuCl",
  "functional": "PBE-GGA",
  "state": "relaxed",
  "raw_formation_energy_mev_per_atom": 231,
  "e_above_lowest_polymorph_mev_per_atom": 198.7,
  "magnetic_moment_mub_per_cell": 0.000,
  "final_energy_ev_per_cell": -12.47,
  "lattice_angstrom": [[6.974, -0.001, -0.001], [6.378, 2.821, -0.001], [6.378, 1.347, 2.479]],
  "species": ["Be", "Be", "Cu", "Cl"],
  "frac_coords": [[0.001, 0.001, 0.001], [0.499, 0.499, 0.499], [0.750, 0.750, 0.750], [0.250, 0.250, 0.250]]
}

=====

Record 14
{
  "formula": "Be2CuCl",
  "functional": "PBE-GGA",
  "state": "relaxed",
  "raw_formation_energy_mev_per_atom": 483,
  "e_above_lowest_polymorph_mev_per_atom": 451.1,
  "magnetic_moment_mub_per_cell": 0.000,
  "final_energy_ev_per_cell": -11.46,
  "lattice_angstrom": [[4.336, -0.002, 0.000], [-1.521, 4.061, 0.000], [0.000, 0.000, 2.831]],
  "species": ["Be", "Be", "Cu", "Cl"],
  "frac_coords": [[0.000, 0.000, 0.000], [0.500, 0.500, 0.000], [0.000, 0.500, 0.500], [0.500, 0.000, 0.500]]
}

=====

Record 15
{
  "formula": "Be2CuCl",
  "functional": "PBE-GGA",
  "state": "relaxed",
  "raw_formation_energy_mev_per_atom": 592,
  "e_above_lowest_polymorph_mev_per_atom": 560.1,
  "magnetic_moment_mub_per_cell": 0.000,
  "final_energy_ev_per_cell": -11.03,
  "lattice_angstrom": [[-3.364, -0.064, -2.773], [0.524, -4.294, -0.536], [-1.671, -0.458, 2.038]],
  "species": ["Be", "Be", "Cu", "Cl"],
  "frac_coords": [[0.000, 0.000, 0.000], [0.500, 0.500, 0.000], [0.000, 0.500, 0.500], [0.500, 0.000, 0.500]]
}

=====

Record 16
{
  "formula": "BeCuCl3",
  "functional": "PBE-GGA",
  "state": "relaxed",
  "raw_formation_energy_mev_per_atom": -351,
  "e_above_lowest_polymorph_mev_per_atom": 0.0,
  "magnetic_moment_mub_per_cell": 0.000,
  "final_energy_ev_per_cell": -15.12,
  "lattice_angstrom": [[-1.070, -2.914, 3.265], [3.602, -2.494, -1.046], [2.484, 2.363, 2.922]],
  "species": ["Be", "Cu", "Cl", "Cl", "Cl"],
  "frac_coords": [[0.000, 0.000, 0.000], [0.500, 0.500, 0.500], [0.000, 0.500, 0.000], [0.000, 0.000, 0.500], [0.500, 0.000, 0.000]]
}

=====

Record 17
{
  "formula": "BeCu2Cl",
  "functional": "PBE-GGA",
  "state": "relaxed",
  "raw_formation_energy_mev_per_atom": 382,
  "e_above_lowest_polymorph_mev_per_atom": 414.6,
  "magnetic_moment_mub_per_cell": 0.000,
  "final_energy_ev_per_cell": -12.24,
  "lattice_angstrom": [[-0.798, -0.482, 2.823], [-3.270, -4.327, -1.663], [2.795, -2.267, 0.403]],
  "species": ["Be", "Cu", "Cu", "Cl"],
  "frac_coords": [[0.500, 0.000, 0.500], [0.000, 0.000, 0.000], [0.500, 0.500, 0.000], [0.000, 0.500, 0.500]]
}

=====

Record 18
{
  "formula": "Be2CuCl",
  "functional": "PBE-GGA",
  "state": "relaxed",
  "raw_formation_energy_mev_per_atom": 136,
  "e_above_lowest_polymorph_mev_per_atom": 104.1,
  "magnetic_moment_mub_per_cell": 0.000,
  "final_energy_ev_per_cell": -12.85,
  "lattice_angstrom": [[4.079, -0.061, 0.150], [3.049, 2.710, 0.150], [3.884, 1.443, 5.369]],
  "species": ["Be", "Be", "Cu", "Cl"],
  "frac_coords": [[0.043, 0.043, 0.104], [0.457, 0.457, 0.396], [0.250, 0.250, 0.250], [0.750, 0.750, 0.750]]
}

=====

Record 19
{
  "formula": "BeCuCl4",
  "functional": "PBE-GGA",
  "state": "relaxed",
  "raw_formation_energy_mev_per_atom": 1079,
  "e_above_lowest_polymorph_mev_per_atom": 1864.3,
  "magnetic_moment_mub_per_cell": 2.978,
  "final_energy_ev_per_cell": -8.73,
  "lattice_angstrom": [[0.000, 4.149, 4.149], [4.149, 0.000, 4.149], [4.149, 4.149, 0.000]],
  "species": ["Be", "Cu", "Cl", "Cl", "Cl", "Cl"],
  "frac_coords": [[0.000, 0.000, 0.000], [0.750, 0.750, 0.750], [0.875, 0.375, 0.375], [0.375, 0.375, 0.875], [0.375, 0.875, 0.375], [0.375, 0.375, 0.375]]
}

=====

Record 20
{
  "formula": "Be4CuCl",
  "functional": "PBE-GGA",
  "state": "relaxed",
  "raw_formation_energy_mev_per_atom": 553,
  "magnetic_moment_mub_per_cell": 0.000,
  "final_energy_ev_per_cell": -17.53,
  "lattice_angstrom": [[1.228, -2.918, 3.254], [-2.057, -4.034, 0.326], [2.252, -3.791, -1.082]],
  "species": ["Be", "Be", "Be", "Be", "Cu", "Cl"],
  "frac_coords": [[0.882, 0.373, 0.373], [0.373, 0.373, 0.882], [0.373, 0.882, 0.373], [0.373, 0.373, 0.373], [0.000, 0.000, 0.000], [0.750, 0.750, 0.750]]
}